Entry 1:
Here is crystalline TePbCl at its relaxed geometry from Alexandria via LeMat-Bulk. Energies are from PBE-GGA.

Results
**Formation energy without anion corrections**: -406 meV per atom
**Density of states at the Fermi level**: 2.205 states/eV per cell
**SG**: F-43m
**E_tot**: -9.915 eV/cell
**Total magnetic moment**: 0.00 Bohr magnetons per cell

Cell: 5.2148 5.2148 5.2148 Å, 60.00 60.00 60.00°
Sites, in units of the cell vectors:
Te: 0.0000 0.0000 0.0000
Pb: 0.2500 0.2500 0.2500
Cl: 0.5000 0.5000 0.5000

Entry 2:
Here is crystalline ThPbCl at its relaxed geometry from Alexandria via LeMat-Bulk. Energies are from PBE-GGA.

Results
**Formation energy without anion corrections**: -703 meV per atom
**Density of states at the Fermi level**: 4.829 states/eV per cell
**SG**: P2_1/m
**E_tot**: -30.170 eV/cell
**Total magnetic moment**: 0.00 Bohr magnetons per cell

Cell: 5.3687 5.1964 6.6590 Å, 90.00 113.43 90.00°
Sites, in units of the cell vectors:
Th: 0.0602 0.2500 0.3295
Th: 0.9398 0.7500 0.6705
Pb: 0.3164 0.2500 0.9458
Pb: 0.6836 0.7500 0.0542
Cl: 0.3223 0.7500 0.4544
Cl: 0.6777 0.2500 0.5456

Entry 3:
Here is crystalline ThPbCl14 at its relaxed geometry from Alexandria via LeMat-Bulk. Energies are from PBE-GGA.

Results
**Formation energy without anion corrections**: -821 meV per atom
**SG**: P1
**E_tot**: -50.124 eV/cell
**Total magnetic moment**: 0.13 Bohr magnetons per cell

Cell: 7.2728 8.9010 11.4531 Å, 108.10 91.36 112.15°
Sites, in units of the cell vectors:
Th: 0.0000 0.0000 0.0000
Pb: 0.2685 0.1122 0.6696
Cl: 0.0248 0.1784 0.5731
Cl: 0.0282 0.2127 0.2201
Cl: 0.0407 0.7100 0.9858
Cl: 0.0873 0.2463 0.9008
Cl: 0.1376 0.8682 0.7552
Cl: 0.3882 0.9546 0.4954
Cl: 0.4253 0.1489 0.0979
Cl: 0.5502 0.8109 0.2306
Cl: 0.5543 0.9804 0.9640
Cl: 0.5741 0.3397 0.7992
Cl: 0.6183 0.5029 0.4977
Cl: 0.6618 0.7974 0.8164
Cl: 0.7541 0.7501 0.1264
Cl: 0.7932 0.3962 0.4043

Entry 4:
Here is crystalline Th2PbCl11 at its relaxed geometry from Alexandria via LeMat-Bulk. Energies are from PBE-GGA.

Results
**Formation energy without anion corrections**: -1674 meV per atom
**Density of states at the Fermi level**: 18.670 states/eV per cell
**SG**: Ibam
**E_tot**: -124.594 eV/cell
**Total magnetic moment**: 1.99 Bohr magnetons per cell

Cell: 10.9375 10.9375 10.9375 Å, 122.18 106.07 100.99°
Sites, in units of the cell vectors:
Th: 0.1886 0.1495 0.3380
Th: 0.3114 0.6495 0.9609
Th: 0.6886 0.3505 0.0391
Th: 0.8114 0.8505 0.6620
Pb: 0.2500 0.7500 0.5000
Pb: 0.7500 0.2500 0.5000
Cl: 0.0000 0.0000 0.0000
Cl: 0.0362 0.4658 0.7840
Cl: 0.0556 0.8665 0.6536
Cl: 0.1818 0.9658 0.4296
Cl: 0.2057 0.8815 0.0873
Cl: 0.2129 0.4019 0.3464
Cl: 0.2871 0.6335 0.1891
Cl: 0.2943 0.3815 0.6758
Cl: 0.3182 0.7478 0.7840
Cl: 0.4444 0.0981 0.8109
Cl: 0.4638 0.2478 0.4296
Cl: 0.5000 0.5000 0.0000
Cl: 0.5362 0.7522 0.5704
Cl: 0.5556 0.9019 0.1891
Cl: 0.6818 0.2522 0.2160
Cl: 0.7057 0.6185 0.3242
Cl: 0.7129 0.3665 0.8109
Cl: 0.7871 0.5981 0.6536
Cl: 0.7943 0.1185 0.9127
Cl: 0.8182 0.0342 0.5704
Cl: 0.9444 0.1335 0.3464
Cl: 0.9638 0.5342 0.2160

Entry 5:
Here is crystalline ThPb2Cl8 at its relaxed geometry from Alexandria via LeMat-Bulk. Energies are from PBE-GGA.

Results
**Formation energy without anion corrections**: -1582 meV per atom
**Density of states at the Fermi level**: 0.000 states/eV per cell
**SG**: Cm
**E_tot**: -47.010 eV/cell
**Total magnetic moment**: 0.00 Bohr magnetons per cell

Cell: 7.7428 7.7428 6.4436 Å, 104.53 104.53 111.95°
Sites, in units of the cell vectors:
Th: 0.0000 0.0000 0.0000
Pb: 0.3116 0.6672 0.7356
Pb: 0.6672 0.3116 0.7356
Cl: 0.0751 0.3352 0.8680
Cl: 0.1819 0.8245 0.2190
Cl: 0.3340 0.3340 0.4136
Cl: 0.3352 0.0751 0.8680
Cl: 0.6426 0.9002 0.6204
Cl: 0.6709 0.6709 0.0291
Cl: 0.8245 0.1819 0.2190
Cl: 0.9002 0.6426 0.6204

Entry 6:
Here is crystalline TiPbCl2 at its relaxed geometry from Alexandria via LeMat-Bulk. Energies are from PBE-GGA.

Results
**Formation energy without anion corrections**: -378 meV per atom
**Density of states at the Fermi level**: 3.682 states/eV per cell
**SG**: I-42d
**E_tot**: -33.615 eV/cell
**Total magnetic moment**: 3.89 Bohr magnetons per cell

Cell: 7.2713 7.2713 7.2713 Å, 125.07 125.07 81.43°
Sites, in units of the cell vectors:
Ti: 0.0000 0.0000 0.0000
Ti: 0.7500 0.2500 0.5000
Pb: 0.2500 0.7500 0.5000
Pb: 0.5000 0.5000 0.0000
Cl: 0.0142 0.6250 0.8892
Cl: 0.3750 0.2642 0.3892
Cl: 0.7358 0.1250 0.1108
Cl: 0.8750 0.9858 0.6108

Entry 7:
Here is crystalline Ti3PbCl at its relaxed geometry from Alexandria via LeMat-Bulk. Energies are from PBE-GGA.

Results
**Formation energy without anion corrections**: 1064 meV per atom
**Density of states at the Fermi level**: 6.178 states/eV per cell
**SG**: Pm-3m
**E_tot**: -23.920 eV/cell
**Total magnetic moment**: 6.89 Bohr magnetons per cell

Cell: 5.3570 5.3570 5.3570 Å, 90.00 90.00 90.00°
Sites, in units of the cell vectors:
Ti: 0.0000 0.0000 0.5000
Ti: 0.0000 0.5000 0.0000
Ti: 0.5000 0.0000 0.0000
Pb: 0.0000 0.0000 0.0000
Cl: 0.5000 0.5000 0.5000

Entry 8:
Here is crystalline Ti2PbCl at its relaxed geometry from Alexandria via LeMat-Bulk. Energies are from PBE-GGA.

Results
**Formation energy without anion corrections**: 8 meV per atom
**Density of states at the Fermi level**: 4.064 states/eV per cell
**SG**: Fm-3m
**E_tot**: -21.315 eV/cell
**Total magnetic moment**: 0.00 Bohr magnetons per cell

Cell: 4.7765 4.7765 4.7765 Å, 60.00 60.00 60.00°
Sites, in units of the cell vectors:
Ti: 0.2500 0.2500 0.2500
Ti: 0.7500 0.7500 0.7500
Pb: 0.0000 0.0000 0.0000
Cl: 0.5000 0.5000 0.5000